(1)
Material: Sr2La4Sb3N2
Method: DFT, PBE
State: relaxed

The structure in CIF format:
```
data_Sr2La4Sb3N2
_symmetry_space_group_name_H-M 'I 4/m m m'
_symmetry_Int_Tables_number 139
_symmetry_space_group_name_Hall '-I 4 2'
_cell_length_a 4.983
_cell_length_b 4.983
_cell_length_c 26.616
_cell_angle_alpha 90.00
_cell_angle_beta 90.00
_cell_angle_gamma 90.00
loop_
_atom_site_label
_atom_site_fract_x
_atom_site_fract_y
_atom_site_fract_z
Sr1 0.000 0.000 0.196
La1 0.000 0.500 0.085
Sb1 0.000 0.000 0.326
Sb2 0.000 0.000 0.500
N1 0.000 0.000 0.099
```

* total energy: -5.924 eV/atom
* DOS(E_F): 0.34 states/eV per atom
* density: 5.648 Mg/m³
* total magnetization: 0.0 μB per cell


(2)
Material: SrLa2SbN
Method: DFT, PBE
State: relaxed

The structure in CIF format:
```
data_SrLa2SbN
_symmetry_space_group_name_H-M 'P 4/m m m'
_symmetry_Int_Tables_number 123
_symmetry_space_group_name_Hall '-P 4 2'
_cell_length_a 5.055
_cell_length_b 5.055
_cell_length_c 5.246
_cell_angle_alpha 90.00
_cell_angle_beta 90.00
_cell_angle_gamma 90.00
loop_
_atom_site_label
_atom_site_fract_x
_atom_site_fract_y
_atom_site_fract_z
Sr1 0.000 0.000 0.000
La1 0.000 0.500 0.500
Sb1 0.500 0.500 0.000
N1 0.000 0.000 0.500
```

* total energy: -5.788 eV/atom
* DOS(E_F): 0.76 states/eV per atom
* density: 6.210 Mg/m³
* total magnetization: 0.0 μB per cell


(3)
Material: LaTb2SbN4
Method: DFT, PBE
State: relaxed

The structure in CIF format:
```
data_LaTb2SbN4
_symmetry_space_group_name_H-M 'C m c m'
_symmetry_Int_Tables_number 63
_symmetry_space_group_name_Hall '-C 2c 2'
_cell_length_a 3.723
_cell_length_b 11.891
_cell_length_c 11.947
_cell_angle_alpha 90.00
_cell_angle_beta 90.00
_cell_angle_gamma 90.00
loop_
_atom_site_label
_atom_site_fract_x
_atom_site_fract_y
_atom_site_fract_z
La1 0.000 0.104 0.250
Tb1 0.000 0.372 0.038
Sb1 0.000 0.154 0.750
N1 0.000 0.000 0.000
N2 0.000 0.275 0.625
N3 0.000 0.433 0.250
```

* total energy: -7.214 eV/atom
* DOS(E_F): 0.45 states/eV per atom
* density: 7.969 Mg/m³
* total magnetization: 0.0 μB per cell


(4)
Material: LaTc2SbN
Method: DFT, PBE
State: relaxed

The structure in CIF format:
```
data_LaTc2SbN
_symmetry_space_group_name_H-M 'P 4/m m m'
_symmetry_Int_Tables_number 123
_symmetry_space_group_name_Hall '-P 4 2'
_cell_length_a 5.066
_cell_length_b 5.066
_cell_length_c 4.338
_cell_angle_alpha 90.00
_cell_angle_beta 90.00
_cell_angle_gamma 90.00
loop_
_atom_site_label
_atom_site_fract_x
_atom_site_fract_y
_atom_site_fract_z
La1 0.000 0.000 0.000
Tc1 0.000 0.500 0.500
Sb1 0.500 0.500 0.500
N1 0.500 0.500 0.000
```

* total energy: -6.358 eV/atom
* DOS(E_F): 1.21 states/eV per atom
* density: 7.021 Mg/m³
* total magnetization: 4.6 μB per cell


(5)
Material: LaSbTeN2
Method: DFT, PBE
State: relaxed

The structure in CIF format:
```
data_LaSbTeN2
_symmetry_space_group_name_H-M 'P 4/m m m'
_symmetry_Int_Tables_number 123
_symmetry_space_group_name_Hall '-P 4 2'
_cell_length_a 4.351
_cell_length_b 4.351
_cell_length_c 5.671
_cell_angle_alpha 90.00
_cell_angle_beta 90.00
_cell_angle_gamma 90.00
loop_
_atom_site_label
_atom_site_fract_x
_atom_site_fract_y
_atom_site_fract_z
La1 0.000 0.000 0.000
Sb1 0.500 0.500 0.500
Te1 0.500 0.500 0.000
N1 0.000 0.500 0.500
```

* DOS(E_F): 0.19 states/eV per atom
* density: 6.438 Mg/m³
* total magnetization: 0.0 μB per cell
* distance to the lowest polymorph of the same formula: 0.00 kcal/mol of atoms


(6)
Material: LaSb2TeN
Method: DFT, PBE
State: relaxed

The structure in CIF format:
```
data_LaSb2TeN
_symmetry_space_group_name_H-M 'P 4/m m m'
_symmetry_Int_Tables_number 123
_symmetry_space_group_name_Hall '-P 4 2'
_cell_length_a 4.833
_cell_length_b 4.833
_cell_length_c 5.031
_cell_angle_alpha 90.00
_cell_angle_beta 90.00
_cell_angle_gamma 90.00
loop_
_atom_site_label
_atom_site_fract_x
_atom_site_fract_y
_atom_site_fract_z
La1 0.000 0.000 0.000
Sb1 0.000 0.500 0.500
Te1 0.500 0.500 0.000
N1 0.500 0.500 0.500
```

* DOS(E_F): 0.42 states/eV per atom
* density: 7.405 Mg/m³
* total magnetization: 0.0 μB per cell
* distance to the lowest polymorph of the same formula: 0.00 kcal/mol of atoms